1.
Material: NdGaPd2
Method: DFT, SCAN
State: PBEsol geometry

Calculated formation energy = -0.94 eV per atom
D(E_F) = 6.821 states/eV per cell

a b c (Å): 7.449 7.057 5.643
angles (deg): 90.00 90.00 90.00
Positions (direct):
Nd1 0.033 0.250 0.145
Nd2 0.467 0.750 0.645
Nd3 0.533 0.250 0.355
Nd4 0.967 0.750 0.855
Ga1 0.118 0.750 0.352
Ga2 0.382 0.250 0.852
Ga3 0.618 0.750 0.148
Ga4 0.882 0.250 0.648
Pd1 0.178 0.053 0.588
Pd2 0.178 0.447 0.588
Pd3 0.322 0.553 0.088
Pd4 0.322 0.947 0.088
Pd5 0.678 0.053 0.912
Pd6 0.678 0.447 0.912
Pd7 0.822 0.553 0.412
Pd8 0.822 0.947 0.412

=====

2.
Material: NdGaPd
Method: DFT, SCAN
State: PBEsol geometry

Calculated formation energy = -0.96 eV per atom
D(E_F) = 5.956 states/eV per cell

a b c (Å): 7.065 4.500 7.600
angles (deg): 90.00 90.00 90.00
Positions (direct):
Nd1 0.021 0.250 0.196
Nd2 0.479 0.750 0.696
Nd3 0.521 0.250 0.304
Nd4 0.979 0.750 0.804
Ga1 0.173 0.250 0.578
Ga2 0.327 0.750 0.078
Ga3 0.673 0.250 0.922
Ga4 0.827 0.750 0.422
Pd1 0.209 0.750 0.406
Pd2 0.291 0.250 0.906
Pd3 0.709 0.750 0.094
Pd4 0.791 0.250 0.594

=====

3.
Material: NdGa3Pt
Method: DFT, SCAN
State: PBEsol geometry

Calculated formation energy = -0.88 eV per atom
D(E_F) = 2.298 states/eV per cell

a b c (Å): 6.120 6.120 6.120
angles (deg): 140.47 140.47 57.14
Positions (direct):
Nd1 0.000 0.000 0.000
Ga1 0.250 0.750 0.500
Ga2 0.386 0.386 0.000
Ga3 0.614 0.614 0.000
Pt1 0.750 0.250 0.500

=====

4.
Material: NdGa2Pt3
Method: DFT, SCAN
State: PBEsol geometry

Calculated formation energy = -1.07 eV per atom
D(E_F) = 1.532 states/eV per cell

a b c (Å): 5.535 5.535 3.990
angles (deg): 90.00 90.00 120.00
Positions (direct):
Nd1 0.000 0.000 0.000
Ga1 0.333 0.667 0.000
Ga2 0.667 0.333 0.000
Pt1 0.000 0.500 0.500
Pt2 0.500 0.000 0.500
Pt3 0.500 0.500 0.500

=====

5.
Material: Nd2Ga9Ru3
Method: DFT, SCAN
State: PBEsol geometry

Calculated formation energy = -0.62 eV per atom
D(E_F) = 11.667 states/eV per cell

a b c (Å): 7.419 7.419 9.693
angles (deg): 90.00 90.00 61.25
Positions (direct):
Nd1 0.002 0.675 0.750
Nd2 0.325 0.998 0.750
Nd3 0.675 0.002 0.250
Nd4 0.998 0.325 0.250
Ga1 0.012 0.661 0.075
Ga2 0.012 0.661 0.425
Ga3 0.136 0.864 0.250
Ga4 0.339 0.661 0.557
Ga5 0.339 0.661 0.943
Ga6 0.339 0.988 0.075
Ga7 0.339 0.988 0.425
Ga8 0.340 0.448 0.250
Ga9 0.448 0.340 0.750
Ga10 0.552 0.660 0.250
Ga11 0.660 0.552 0.750
Ga12 0.661 0.012 0.575
Ga13 0.661 0.012 0.925
Ga14 0.661 0.339 0.057
Ga15 0.661 0.339 0.443
Ga16 0.864 0.136 0.750
Ga17 0.988 0.339 0.575
Ga18 0.988 0.339 0.925
Ru1 0.000 0.000 0.000
Ru2 0.000 0.000 0.500
Ru3 0.325 0.325 0.000
Ru4 0.325 0.325 0.500
Ru5 0.675 0.675 0.000
Ru6 0.675 0.675 0.500

=====

6.
Material: Nd9Ga5S21
Method: DFT, SCAN
State: PBEsol geometry

Formation energy without anion corrections = -1.812 eV per atom
D(E_F) = 0.000 states/eV per cell

a b c (Å): 11.551 11.551 11.551
angles (deg): 95.17 95.17 95.17
Positions (direct):
Nd1 0.018 0.641 0.794
Nd2 0.018 0.805 0.178
Nd3 0.118 0.497 0.345
Nd4 0.139 0.363 0.988
Nd5 0.178 0.018 0.805
Nd6 0.323 0.472 0.697
Nd7 0.345 0.118 0.497
Nd8 0.363 0.988 0.139
Nd9 0.458 0.831 0.687
Nd10 0.472 0.697 0.323
Nd11 0.497 0.345 0.118
Nd12 0.641 0.794 0.018
Nd13 0.687 0.458 0.831
Nd14 0.697 0.323 0.472
Nd15 0.794 0.018 0.641
Nd16 0.805 0.178 0.018
Nd17 0.831 0.687 0.458
Nd18 0.988 0.139 0.363
Ga1 0.023 0.346 0.690
Ga2 0.183 0.851 0.524
Ga3 0.221 0.221 0.221
Ga4 0.346 0.690 0.023
Ga5 0.417 0.417 0.417
Ga6 0.524 0.183 0.851
Ga7 0.690 0.023 0.346
Ga8 0.718 0.718 0.718
Ga9 0.851 0.524 0.183
Ga10 0.914 0.914 0.914
S1 0.021 0.269 0.168
S2 0.031 0.563 0.121
S3 0.061 0.728 0.399
S4 0.091 0.506 0.606
S5 0.094 0.848 0.956
S6 0.121 0.031 0.563
S7 0.168 0.021 0.269
S8 0.187 0.271 0.758
S9 0.198 0.292 0.428
S10 0.216 0.785 0.702
S11 0.228 0.564 0.897
S12 0.269 0.168 0.021
S13 0.271 0.758 0.187
S14 0.292 0.428 0.198
S15 0.338 0.584 0.483
S16 0.365 0.879 0.462
S17 0.399 0.061 0.728
S18 0.409 0.853 0.939
S19 0.428 0.198 0.292
S20 0.462 0.365 0.879
S21 0.483 0.338 0.584
S22 0.506 0.606 0.091
S23 0.534 0.632 0.784
S24 0.563 0.121 0.031
S25 0.564 0.897 0.228
S26 0.584 0.483 0.338
S27 0.606 0.091 0.506
S28 0.632 0.784 0.534
S29 0.680 0.911 0.815
S30 0.702 0.216 0.785
S31 0.728 0.399 0.061
S32 0.758 0.187 0.271
S33 0.784 0.534 0.632
S34 0.785 0.702 0.216
S35 0.815 0.680 0.911
S36 0.848 0.956 0.094
S37 0.853 0.939 0.409
S38 0.879 0.462 0.365
S39 0.897 0.228 0.564
S40 0.911 0.815 0.680
S41 0.939 0.409 0.853
S42 0.956 0.094 0.848

=====

7.
Material: NdZn2Ga2
Method: DFT, SCAN
State: PBEsol geometry

Calculated formation energy = -0.58 eV per atom
D(E_F) = 1.312 states/eV per cell

a b c (Å): 6.037 6.037 6.037
angles (deg): 139.67 139.67 58.36
Positions (direct):
Nd1 0.000 0.000 0.000
Zn1 0.387 0.387 0.000
Zn2 0.613 0.613 0.000
Ga1 0.250 0.750 0.500
Ga2 0.750 0.250 0.500

=====

8.
Material: Nd2ZnGa
Method: DFT, SCAN
State: PBEsol geometry

Calculated formation energy = -0.52 eV per atom
D(E_F) = 4.075 states/eV per cell

a b c (Å): 5.128 5.128 5.128
angles (deg): 60.00 60.00 60.00
Positions (direct):
Nd1 0.250 0.250 0.250
Nd2 0.750 0.750 0.750
Zn1 0.000 0.000 0.000
Ga1 0.500 0.500 0.500

=====

9.
Material: Ga3Ni5
Method: DFT, SCAN
State: PBEsol geometry

Calculated formation energy = -0.36 eV per atom
D(E_F) = 3.334 states/eV per cell

a b c (Å): 4.988 4.988 3.688
angles (deg): 90.00 90.00 96.24
Positions (direct):
Ga1 0.000 0.000 0.000
Ga2 0.281 0.719 0.500
Ga3 0.719 0.281 0.500
Ni1 0.000 0.500 0.000
Ni2 0.225 0.225 0.500
Ni3 0.500 0.000 0.000
Ni4 0.500 0.500 0.000
Ni5 0.775 0.775 0.500

=====

10.
Material: Ga7Ni3
Method: DFT, SCAN
State: PBEsol geometry

Calculated formation energy = -0.34 eV per atom
D(E_F) = 2.917 states/eV per cell

a b c (Å): 7.218 7.218 7.218
angles (deg): 109.47 109.47 109.47
Positions (direct):
Ga1 0.000 0.000 0.322
Ga2 0.000 0.000 0.678
Ga3 0.000 0.322 0.000
Ga4 0.000 0.678 0.000
Ga5 0.250 0.500 0.750
Ga6 0.250 0.750 0.500
Ga7 0.322 0.000 0.000
Ga8 0.322 0.322 0.322
Ga9 0.500 0.250 0.750
Ga10 0.500 0.750 0.250
Ga11 0.678 0.000 0.000
Ga12 0.678 0.678 0.678
Ga13 0.750 0.250 0.500
Ga14 0.750 0.500 0.250
Ni1 0.000 0.350 0.350
Ni2 0.000 0.650 0.650
Ni3 0.350 0.000 0.350
Ni4 0.350 0.350 0.000
Ni5 0.650 0.000 0.650
Ni6 0.650 0.650 0.000

=====

11.
Material: Ga9Ni13
Method: DFT, SCAN
State: PBEsol geometry

Calculated formation energy = -0.38 eV per atom
D(E_F) = 9.721 states/eV per cell

a b c (Å): 6.264 6.264 8.370
angles (deg): 117.06 117.06 76.85
Positions (direct):
Ga1 0.000 0.000 0.000
Ga2 0.209 0.209 0.667
Ga3 0.251 0.671 0.191
Ga4 0.329 0.749 0.809
Ga5 0.330 0.330 0.387
Ga6 0.670 0.670 0.613
Ga7 0.671 0.251 0.191
Ga8 0.749 0.329 0.809
Ga9 0.791 0.791 0.333
Ni1 0.000 0.500 0.500
Ni2 0.042 0.565 0.839
Ni3 0.051 0.051 0.321
Ni4 0.239 0.761 0.500
Ni5 0.241 0.241 0.986
Ni6 0.435 0.958 0.161
Ni7 0.500 0.000 0.500
Ni8 0.500 0.500 0.000
Ni9 0.565 0.042 0.839
Ni10 0.759 0.759 0.014
Ni11 0.761 0.239 0.500
Ni12 0.949 0.949 0.679
Ni13 0.958 0.435 0.161

=====

12.
Material: GaNiP2O
Method: DFT, SCAN
State: PBEsol geometry

Formation energy without anion corrections = 0.214 eV per atom
D(E_F) = 2.812 states/eV per cell

a b c (Å): 4.607 4.607 3.407
angles (deg): 90.00 90.00 90.00
Positions (direct):
Ga1 0.000 0.000 0.000
Ni1 0.500 0.500 0.500
P1 0.000 0.500 0.500
P2 0.500 0.000 0.500
O1 0.500 0.500 0.000